No. 1
CaTc2Te: relaxed, GGA-PBEsol.

formation energy from raw total energies: 0.46 eV per atom
symmetry: P4/mmm
VASP energy: -6.591 eV per atom

Cell: 4.483 4.483 3.437 Å, 90.00 90.00 90.00°
Fractional coordinates of all 4 atoms:
1 Ca 0.000 0.000 0.000
2 Tc 0.000 0.500 0.500
3 Tc 0.500 0.000 0.500
4 Te 0.500 0.500 0.000

No. 2
YBeNiI2: relaxed, GGA-PBEsol.

formation energy from raw total energies: 0.42 eV per atom
symmetry: P4/mmm
VASP energy: -3.678 eV per atom

Cell: 5.081 5.081 5.044 Å, 90.00 90.00 90.00°
Fractional coordinates of all 5 atoms:
1 Y 0.000 0.000 0.000
2 Be 0.500 0.500 0.000
3 Ni 0.000 0.000 0.500
4 I 0.000 0.500 0.500
5 I 0.500 0.000 0.500

No. 3
BaSr2: relaxed, GGA-PBEsol.

symmetry: P6_3/mmc
DFT formation energy: 51 meV per atom
VASP energy: -1.892 eV per atom
energy above the lowest structure with this stoichiometry: 0.048 eV/atom

Cell: 6.823 6.823 7.991 Å, 90.00 90.00 120.00°
Fractional coordinates of all 6 atoms:
1 Ba 0.333 0.667 0.250
2 Ba 0.667 0.333 0.750
3 Sr 0.000 0.000 0.000
4 Sr 0.000 0.000 0.500
5 Sr 0.333 0.667 0.750
6 Sr 0.667 0.333 0.250

No. 4
Ga2Ni5Te4: relaxed, GGA-PBEsol.

formation energy from raw total energies: -0.28 eV per atom
symmetry: P-3m1
VASP energy: -4.967 eV per atom

Cell: 3.804 3.804 15.133 Å, 90.00 90.00 120.00°
Fractional coordinates of all 11 atoms:
1 Ga 0.333 0.667 0.244
2 Ga 0.667 0.333 0.756
3 Ni 0.000 0.000 0.168
4 Ni 0.000 0.000 0.328
5 Ni 0.000 0.000 0.500
6 Ni 0.000 0.000 0.672
7 Ni 0.000 0.000 0.832
8 Te 0.333 0.667 0.592
9 Te 0.333 0.667 0.912
10 Te 0.667 0.333 0.088
11 Te 0.667 0.333 0.408

No. 5
AlIrIO2: relaxed, GGA-PBEsol.

formation energy from raw total energies: -0.31 eV per atom
symmetry: P4/mmm
VASP energy: -5.545 eV per atom

Cell: 3.850 3.850 5.401 Å, 90.00 90.00 90.00°
Fractional coordinates of all 5 atoms:
1 Al 0.000 0.000 0.000
2 Ir 0.000 0.000 0.500
3 I 0.500 0.500 0.000
4 O 0.000 0.500 0.500
5 O 0.500 0.000 0.500

No. 6
Mg3Sb: relaxed, GGA-PBEsol.

formation energy from raw total energies: -0.09 eV per atom
symmetry: Pm-3n
VASP energy: -2.517 eV per atom
energy above the lowest structure with this stoichiometry: 0.102 eV/atom

Cell: 5.708 5.708 5.708 Å, 90.00 90.00 90.00°
Fractional coordinates of all 8 atoms:
1 Mg 0.000 0.250 0.500
2 Mg 0.000 0.750 0.500
3 Mg 0.250 0.500 0.000
4 Mg 0.500 0.000 0.250
5 Mg 0.500 0.000 0.750
6 Mg 0.750 0.500 0.000
7 Sb 0.000 0.000 0.000
8 Sb 0.500 0.500 0.500

No. 7
TcCl: relaxed, GGA-PBEsol.

formation energy from raw total energies: 0.40 eV per atom
symmetry: C2/m
VASP energy: -6.232 eV per atom
energy above the lowest structure with this stoichiometry: 0.592 eV/atom

Cell: 4.848 4.848 6.170 Å, 112.22 112.22 36.41°
Fractional coordinates of all 4 atoms:
1 Tc 0.159 0.159 0.000
2 Tc 0.841 0.841 0.000
3 Cl 0.424 0.424 0.713
4 Cl 0.576 0.576 0.287

No. 8
BaLa2Os: relaxed, GGA-PBEsol.

symmetry: C2/m
DFT formation energy: 12 meV per atom
VASP energy: -6.252 eV per atom
energy above the lowest structure with this stoichiometry: 0.000 eV/atom

Cell: 4.226 4.226 10.067 Å, 101.99 101.99 59.96°
Fractional coordinates of all 4 atoms:
1 Ba 0.000 0.000 0.000
2 La 0.215 0.215 0.646
3 La 0.785 0.785 0.354
4 Os 0.500 0.500 0.500

No. 9
Be2Hg: relaxed, GGA-PBEsol.

symmetry: P-3m1
DFT formation energy: 583 meV per atom
VASP energy: -2.273 eV per atom
energy above the lowest structure with this stoichiometry: 0.204 eV/atom

Cell: 2.848 2.848 5.884 Å, 90.00 90.00 120.00°
Fractional coordinates of all 3 atoms:
1 Be 0.333 0.667 0.364
2 Be 0.667 0.333 0.636
3 Hg 0.000 0.000 0.000

No. 10
LiRh2Br: relaxed, GGA-PBEsol.

formation energy from raw total energies: 0.07 eV per atom
symmetry: P4mm
VASP energy: -4.953 eV per atom
energy above the lowest structure with this stoichiometry: 0.000 eV/atom

Cell: 3.273 3.273 6.035 Å, 90.00 90.00 90.00°
Fractional coordinates of all 4 atoms:
1 Li 0.000 0.000 0.000
2 Rh 0.000 0.000 0.443
3 Rh 0.500 0.500 0.276
4 Br 0.500 0.500 0.834

No. 11
LiAl2Rh: relaxed, GGA-PBEsol.

symmetry: Pmmm
DFT formation energy: -605 meV per atom
VASP energy: -5.178 eV per atom

Cell: 2.963 3.225 5.747 Å, 90.00 90.00 90.00°
Fractional coordinates of all 4 atoms:
1 Li 0.000 0.000 0.000
2 Al 0.500 0.500 0.260
3 Al 0.500 0.500 0.740
4 Rh 0.000 0.000 0.500

No. 12
Sr2CuIr: relaxed, GGA-PBEsol.

symmetry: I-4m2
DFT formation energy: 251 meV per atom
VASP energy: -4.208 eV per atom

Cell: 5.569 5.569 5.569 Å, 133.65 133.65 67.63°
Fractional coordinates of all 4 atoms:
1 Sr 0.000 0.000 0.000
2 Sr 0.750 0.250 0.500
3 Cu 0.500 0.500 0.000
4 Ir 0.250 0.750 0.500

No. 13
FeNiRu: relaxed, GGA-PBEsol.

symmetry: F-43m
DFT formation energy: 531 meV per atom
VASP energy: -7.900 eV per atom
energy above the lowest structure with this stoichiometry: 0.000 eV/atom

Cell: 3.809 3.809 3.809 Å, 60.00 60.00 60.00°
Fractional coordinates of all 3 atoms:
1 Fe 0.000 0.000 0.000
2 Ni 0.250 0.250 0.250
3 Ru 0.750 0.750 0.750

No. 14
LiAl2Ag: relaxed, GGA-PBEsol.

symmetry: I-4m2
DFT formation energy: -145 meV per atom
VASP energy: -3.511 eV per atom
energy above the lowest structure with this stoichiometry: 0.000 eV/atom

Cell: 4.846 4.846 4.846 Å, 131.68 131.68 70.74°
Fractional coordinates of all 4 atoms:
1 Li 0.000 0.000 0.000
2 Al 0.250 0.750 0.500
3 Al 0.500 0.500 0.000
4 Ag 0.750 0.250 0.500

No. 15
SbPbAu2: relaxed, GGA-PBEsol.

formation energy from raw total energies: -0.03 eV per atom
symmetry: C2/m
VASP energy: -4.130 eV per atom

Cell: 4.270 4.270 6.494 Å, 107.81 107.81 58.30°
Fractional coordinates of all 4 atoms:
1 Sb 0.000 0.000 0.000
2 Pb 0.500 0.500 0.500
3 Au 0.259 0.259 0.778
4 Au 0.741 0.741 0.222

No. 16
Li2CoPb: relaxed, GGA-PBEsol.

symmetry: I-42d
DFT formation energy: 262 meV per atom
VASP energy: -3.656 eV per atom

Cell: 10.024 10.024 10.024 Å, 158.76 158.76 30.22°
Fractional coordinates of all 8 atoms:
1 Li 0.104 0.625 0.979
2 Li 0.375 0.354 0.479
3 Li 0.646 0.125 0.021
4 Li 0.875 0.896 0.521
5 Co 0.000 0.000 0.000
6 Co 0.750 0.250 0.500
7 Pb 0.250 0.750 0.500
8 Pb 0.500 0.500 0.000

No. 17
SmSi2Ag2: relaxed, GGA-PBEsol.

formation energy from raw total energies: -0.51 eV per atom
symmetry: I4/mmm
VASP energy: -5.149 eV per atom

Cell: 6.049 6.049 6.049 Å, 139.94 139.94 57.94°
Fractional coordinates of all 5 atoms:
1 Sm 0.000 0.000 0.000
2 Si 0.391 0.391 0.000
3 Si 0.609 0.609 0.000
4 Ag 0.250 0.750 0.500
5 Ag 0.750 0.250 0.500

No. 18
HPd2W: relaxed, GGA-PBEsol.

symmetry: I-42d
VASP energy: -6.889 eV per atom

Cell: 5.088 5.088 5.088 Å, 103.31 103.31 122.65°
Fractional coordinates of all 8 atoms:
1 H 0.000 0.000 0.000
2 H 0.750 0.250 0.500
3 Pd 0.020 0.625 0.895
4 Pd 0.375 0.270 0.395
5 Pd 0.730 0.125 0.105
6 Pd 0.875 0.980 0.605
7 W 0.250 0.750 0.500
8 W 0.500 0.500 0.000

No. 19
Y2HgPt: relaxed, GGA-PBEsol.

symmetry: R3m
DFT formation energy: -328 meV per atom
VASP energy: -5.621 eV per atom

Cell: 8.850 8.850 8.850 Å, 24.61 24.61 24.61°
Fractional coordinates of all 4 atoms:
1 Y 0.000 0.000 0.000
2 Y 0.214 0.214 0.214
3 Hg 0.750 0.750 0.750
4 Pt 0.484 0.484 0.484

No. 20
Tl2Hg: relaxed, GGA-PBEsol.

symmetry: P-3m1
DFT formation energy: -1 meV per atom
VASP energy: -1.943 eV per atom
energy above the lowest structure with this stoichiometry: 0.010 eV/atom

Cell: 5.238 5.238 3.384 Å, 90.00 90.00 120.00°
Fractional coordinates of all 3 atoms:
1 Tl 0.333 0.667 0.274
2 Tl 0.667 0.333 0.726
3 Hg 0.000 0.000 0.000